Compound: LiTa2F
Source: Alexandria
Functional: PBE
Structure: relaxed

Results
Formation energy without anion corrections   0.207 eV per atom
Uncorrected energy   -53.3 eV for the cell shown
Distance to the lowest polymorph of the same formula   0.000 eV per formula unit
Calculated density   9.03 g cm⁻³

POSCAR file:
```
LiTa2F
1.0
-1.8016 -2.0509 -2.4570
-1.8182 -1.6645 2.7226
-9.3907 5.4870 -0.4393
Li Ta F
2 4 2
Cartesian
-6.5094 0.9824 1.2080
-1.8099 -1.8577 0.1328
-10.2070 0.8673 -0.1021
-3.7125 0.0713 1.2802
-8.4038 2.7189 -0.2249
-3.6977 -0.1144 -1.3007
0.0000 0.0000 0.0000
-6.5011 0.7892 -1.3818
```